1.
HfMg2HAu | GGA-PBE | relaxed Values from VASP.

Output
Space group: P4/mmm, No. 123
Crystal system: tetragonal

```
&SYSTEM
  ibrav = 0, nat = 5, ntyp = 4
/
ATOMIC_SPECIES
Hf 178.49 Hf.upf
Mg 24.30 Mg.upf
Au 196.97 Au.upf
H 1.01 H.upf
ATOMIC_POSITIONS angstrom
Hf 0.000 0.000 2.096
Mg 0.000 2.167 0.000
Mg 2.167 0.000 0.000
Au 2.167 2.167 2.096
H 0.000 0.000 0.000
CELL_PARAMETERS angstrom
4.333 0.000 0.000
0.000 4.333 0.000
0.000 0.000 4.192
```

***

2.
Hf2MnHAu | GGA-PBE | relaxed Values from VASP.

Output
Space group: P4/mmm, No. 123
Crystal system: tetragonal

```
&SYSTEM
  ibrav = 0, nat = 5, ntyp = 4
/
ATOMIC_SPECIES
Hf 178.49 Hf.upf
Mn 54.94 Mn.upf
Au 196.97 Au.upf
H 1.01 H.upf
ATOMIC_POSITIONS angstrom
Hf 1.984 -1.076 0.195
Hf -0.522 -1.286 -1.791
Mn -0.757 -1.201 1.083
Au 0.705 -3.563 -0.513
H 0.000 0.000 0.000
CELL_PARAMETERS angstrom
-1.043 -2.572 -3.581
3.968 -2.151 0.389
-1.515 -2.402 2.166
```

***

3.
HfMn2HAu | GGA-PBE | relaxed Values from VASP.

Output
Space group: P4/mmm, No. 123
Crystal system: tetragonal

```
&SYSTEM
  ibrav = 0, nat = 5, ntyp = 4
/
ATOMIC_SPECIES
Hf 178.49 Hf.upf
Mn 54.94 Mn.upf
Au 196.97 Au.upf
H 1.01 H.upf
ATOMIC_POSITIONS angstrom
Hf 0.000 0.000 2.057
Mn 0.000 1.989 0.000
Mn 1.989 0.000 0.000
Au 1.989 1.989 2.057
H 0.000 0.000 0.000
CELL_PARAMETERS angstrom
3.979 0.000 0.000
0.000 3.979 0.000
0.000 0.000 4.113
```

***

4.
NaHf2HAu | GGA-PBE | relaxed Values from VASP.

Output
Space group: P4/mmm, No. 123
Crystal system: tetragonal

```
&SYSTEM
  ibrav = 0, nat = 5, ntyp = 4
/
ATOMIC_SPECIES
Hf 178.49 Hf.upf
Au 196.97 Au.upf
H 1.01 H.upf
Na 22.99 Na.upf
ATOMIC_POSITIONS angstrom
Hf 1.867 -0.086 1.854
Hf -1.206 1.943 1.305
Au -0.220 0.748 3.994
H -0.881 -1.108 0.835
Na 0.000 0.000 0.000
CELL_PARAMETERS angstrom
-2.411 3.885 2.609
-1.762 -2.216 1.671
3.734 -0.173 3.708
```

***

| no. | raw total energy (eV/atom) |
| --- | --- |
| 1 | -4.18 |
| 2 | -7.41 |
| 3 | -7.11 |
| 4 | -4.49 |